# 1
CdCoRe2 | the Alexandria database | GGA-PBE | relaxed; DFT formation energy = 0.27 eV/atom; symmetry = No. 160; raw total energy = -7.96 eV per atom; calculated volume = 61.3 Å³/cell
1.0
9.247 0.006 0.004
8.824 2.763 0.004
8.824 1.352 2.409
Cd Co Re
1 1 2
Direct
0.496 0.496 0.496 Cd
0.745 0.745 0.745 Co
0.002 0.002 0.002 Re
0.257 0.257 0.257 Re

---

# 2
CdCo2Re | the Alexandria database | GGA-PBE | relaxed; DFT formation energy = 0.42 eV/atom; symmetry = No. 44; raw total energy = -6.47 eV per atom; calculated volume = 55.6 Å³/cell
1.0
5.350 0.009 0.002
2.839 4.535 -0.002
-3.513 -3.319 2.294
Cd Co Re
1 2 1
Direct
0.246 0.746 0.500 Cd
0.973 0.973 0.000 Co
0.751 0.251 0.500 Co
0.531 0.531 0.000 Re

---

# 3
CdCoRe2 | the Alexandria database | GGA-PBE | relaxed; DFT formation energy = 0.43 eV/atom; symmetry = No. 123; raw total energy = -7.80 eV per atom; calculated volume = 59.7 Å³/cell
1.0
-2.128 1.031 1.261
1.103 -0.616 2.363
3.723 7.437 0.202
Cd Co Re
1 1 2
Direct
0.500 0.500 0.250 Cd
0.500 0.500 0.750 Co
0.000 0.000 0.967 Re
0.000 0.000 0.533 Re

---

# 4
CdCoRe2 | the Alexandria database | GGA-PBE | relaxed; DFT formation energy = 0.66 eV/atom; symmetry = No. 65; raw total energy = -7.57 eV per atom; calculated volume = 60.3 Å³/cell
1.0
-2.126 -4.116 1.928
3.045 2.671 2.962
-2.108 1.479 0.833
Cd Co Re
1 1 2
Direct
0.500 0.000 0.500 Cd
0.000 0.500 0.500 Co
0.000 0.000 0.000 Re
0.500 0.500 0.000 Re

---

# 5
CdCoRe2 | the Alexandria database | GGA-PBE | relaxed; DFT formation energy = 0.39 eV/atom; symmetry = No. 166; raw total energy = -7.84 eV per atom; calculated volume = 60.1 Å³/cell
1.0
-2.229 -8.673 -2.554
-0.980 -7.875 -4.872
0.506 -8.872 -2.783
Cd Co Re
1 1 2
Direct
0.250 0.250 0.250 Cd
0.750 0.750 0.750 Co
0.010 0.010 0.010 Re
0.490 0.490 0.490 Re

---

# 6
CdCo2Re | the Alexandria database | GGA-PBE | relaxed; DFT formation energy = 0.33 eV/atom; symmetry = No. 99; raw total energy = -6.57 eV per atom; calculated volume = 56.3 Å³/cell
1.0
-2.254 0.507 1.437
-1.202 -2.168 -1.120
2.621 -4.374 5.653
Cd Co Re
1 2 1
Direct
0.500 0.500 0.766 Cd
0.000 0.000 0.036 Co
0.500 0.500 0.239 Co
0.000 0.000 0.460 Re

---

# 7
Cd4CoRe | the Alexandria database | GGA-PBE | relaxed; DFT formation energy = 0.93 eV/atom; symmetry = No. 216; raw total energy = -2.94 eV per atom; calculated volume = 114.8 Å³/cell
1.0
0.000 3.858 3.858
3.858 0.000 3.858
3.858 3.858 0.000
Cd Co Re
4 1 1
Direct
0.875 0.375 0.375 Cd
0.375 0.375 0.875 Cd
0.375 0.875 0.375 Cd
0.375 0.375 0.375 Cd
0.750 0.750 0.750 Co
0.000 0.000 0.000 Re

---

# 8
CdCo2Re | the Alexandria database | GGA-PBE | relaxed; DFT formation energy = 0.29 eV/atom; symmetry = No. 166; raw total energy = -6.61 eV per atom; calculated volume = 56.8 Å³/cell
1.0
8.852 0.000 0.000
8.427 2.712 0.000
8.427 1.323 2.368
Cd Co Re
1 2 1
Direct
0.750 0.750 0.750 Cd
0.994 0.994 0.994 Co
0.506 0.506 0.506 Co
0.250 0.250 0.250 Re

---

What is the formula in the fourth record?
CdCoRe2

---

raw total energy of number 7 (Cd4CoRe)?
-2.94 eV per atom

---

Among the records above, which one has the highest calculated volume?
Cd4CoRe